K2NaZnAu2 | PBE | optimized geometry

Cell: 9.065 9.065 9.065 Å, 135.56 64.49 135.79°
Positions (direct):
K 0.174 0.247 0.422
K 0.326 0.747 0.073
K 0.674 0.253 0.927
K 0.826 0.753 0.578
Na 0.250 0.750 0.500
Na 0.750 0.250 0.500
Zn 0.250 0.250 0.000
Zn 0.750 0.750 0.000
Au 0.096 0.782 0.878
Au 0.404 0.282 0.686
Au 0.596 0.718 0.314
Au 0.904 0.218 0.122

The symmetry is Ibam. For the electronic total energy, the calculation gives -2.14 eV/atom.